MnAlOs2 | GGA-PBEsol | optimized geometry

a = 2.722 Å, b = 3.804 Å, c = 5.185 Å
α = 90.00°, β = 90.00°, γ = 90.00°
Site moments in Bohr magnetons follow the coordinates.
Atoms (fractional coordinates):
Mn 0.500 0.500 0.747  2.47
Os 0.000 0.000 0.999  -0.10
Os 0.500 0.500 0.249  0.14
Al 0.000 0.000 0.504  -0.02

Summary:
Total energy ... -9.6115 eV/atom
DFT formation energy ... -40 meV per atom
Space-group type ... Pmm2